(1)
Crystalline Mo2Ru at its relaxed geometry, computed with PBE.

## Properties
DOS(E_F): 3.9 states/eV/f.u.
Offset from the most stable computed form: 4.469 kcal/mol of atoms
Mass density: 10.528 g/cm3
Energy of formation: 201 meV/atom

The structure in POSCAR format:
```
Mo2Ru
1.0
4.423 0.000 0.000
-2.212 3.831 0.000
0.000 0.000 5.454
Mo Ru
4 2
direct
0.000 0.000 0.000
0.000 0.000 0.500
0.333 0.667 0.250
0.667 0.333 0.750
0.333 0.667 0.750
0.667 0.333 0.250
```

=====

(2)
Crystalline Na2SrZr2 at its relaxed geometry, computed with PBE.

## Properties
DOS(E_F): 4.0 states/eV/f.u.
Offset from the most stable computed form: 1.687 kcal/mol of atoms
Mass density: 3.090 g/cm3
Energy of formation: 789 meV/atom

The structure in POSCAR format:
```
Na2SrZr2
1.0
-2.343 2.343 7.733
2.343 -2.343 7.733
2.343 2.343 -7.733
Na Sr Zr
2 1 2
direct
0.250 0.750 0.500
0.750 0.250 0.500
0.000 0.000 0.000
0.421 0.421 0.000
0.579 0.579 0.000
```

=====

(3)
Crystalline Cs2Dy2BiO6 at its relaxed geometry, computed with PBE.

## Properties
DOS(E_F): 3.9 states/eV/f.u.
ΔE_f (raw): -2.233 eV per atom
Mass density: 6.567 g/cm3

The structure in POSCAR format:
```
Cs2Dy2BiO6
1.0
3.045 -5.269 0.000
3.045 5.269 0.000
-1.999 0.000 7.059
Cs Dy Bi O
2 2 1 6
direct
0.167 0.833 0.000
0.833 0.167 0.000
0.334 0.666 0.500
0.666 0.334 0.500
0.000 0.000 0.500
0.049 0.387 0.660
0.277 0.277 0.340
0.387 0.049 0.660
0.613 0.951 0.340
0.723 0.723 0.660
0.951 0.613 0.340
```

=====

(4)
Crystalline BeZnCSO at its relaxed geometry, computed with PBE.

## Properties
DOS(E_F): 0.8 states/eV/f.u.
ΔE_f (raw): -0.311 eV per atom
Offset from the most stable computed form: 4.771 kcal/mol of atoms
Mass density: 3.795 g/cm3

The structure in POSCAR format:
```
BeZnCSO
1.0
1.613 0.931 6.528
-1.613 0.931 6.528
0.000 -1.863 6.528
Be Zn C S O
1 1 1 1 1
direct
0.000 0.000 0.000
0.799 0.799 0.799
0.526 0.526 0.526
0.612 0.612 0.612
0.075 0.075 0.075
```

=====

(5)
Crystalline CaTe2Rh at its relaxed geometry, computed with PBE.

## Properties
DOS(E_F): 3.6 states/eV/f.u.
ΔE_f (raw): -0.418 eV per atom
Offset from the most stable computed form: 9.129 kcal/mol of atoms
Mass density: 6.421 g/cm3

The structure in POSCAR format:
```
CaTe2Rh
1.0
2.124 -3.205 0.000
2.124 3.205 0.000
0.000 0.000 7.562
Ca Te Rh
1 2 1
direct
0.000 0.000 0.000
0.500 0.500 0.284
0.500 0.500 0.716
0.000 0.000 0.500
```

=====

(6)
Crystalline PuIrPdO6 at its relaxed geometry, computed with PBE.

## Properties
DOS(E_F): 6.4 states/eV/f.u.
ΔE_f (raw): -1.385 eV per atom
Mass density: 9.552 g/cm3

The structure in POSCAR format:
```
PuIrPdO6
1.0
5.246 0.000 0.000
-2.623 4.543 0.000
0.000 0.000 9.316
Pu Ir Pd O
2 2 2 12
direct
0.333 0.667 0.250
0.667 0.333 0.750
0.333 0.667 0.750
0.667 0.333 0.250
0.000 0.000 0.000
0.000 0.000 0.500
0.014 0.350 0.629
0.014 0.664 0.871
0.336 0.350 0.871
0.336 0.986 0.629
0.350 0.014 0.129
0.350 0.336 0.371
0.650 0.664 0.629
0.650 0.986 0.871
0.664 0.014 0.371
0.664 0.650 0.129
0.986 0.336 0.129
0.986 0.650 0.371
```

=====

What did the first record say?
Crystalline Mo2Ru at its relaxed geometry, computed with PBE.

## Properties
DOS(E_F): 3.9 states/eV/f.u.
Offset from the most stable computed form: 4.469 kcal/mol of atoms
Mass density: 10.528 g/cm3
Energy of formation: 201 meV/atom

The structure in POSCAR format:
```
Mo2Ru
1.0
4.423 0.000 0.000
-2.212 3.831 0.000
0.000 0.000 5.454
Mo Ru
4 2
direct
0.000 0.000 0.000
0.000 0.000 0.500
0.333 0.667 0.250
0.667 0.333 0.750
0.333 0.667 0.750
0.667 0.333 0.250
```